Here is a relaxed structure of Ce3Ga2Si4 from Alexandria via LeMat-Bulk. Energies are from PBE.

abc: 5.8686 5.8686 8.2671
angles: 99.50 99.50 41.17
Element x y z (fractional)
Ce (0.0000, 0.0000, 0.0000)
Ce (0.3352, 0.3352, 0.3297)
Ce (0.6648, 0.6648, 0.6703)
Ga (0.3885, 0.3885, 0.7235)
Ga (0.6115, 0.6115, 0.2765)
Si (0.0581, 0.0581, 0.3948)
Si (0.2767, 0.2767, 0.9486)
Si (0.7233, 0.7233, 0.0514)
Si (0.9419, 0.9419, 0.6052)

Computed properties:
* formation energy (no corrections): -0.63 eV per atom
* energy relative to the lowest polymorph listed for this composition: 0.0000 eV per atom
* space-group type: C2/m
* raw total energy: -51.24 eV per cell
* spin magnetization: 0.531 μB per formula unit